## Ac6Pr8Y (PBE)

Data for a relaxed structure of Ac6Pr8Y.

Calculated total energy = -67.78 eV per cell
SG = R-3, No. 148
DFT formation energy = 10 kJ/mol of atoms

a b c (Å): 9.2566 9.2566 9.2566
angles (deg): 62.78 62.78 62.78
Closest atoms and distances in Å follow each position.
Positions (direct):
Pr 0.4250 0.4250 0.4250  4 Pr 3.33-3.64, 3 Ac 3.71
Pr 0.2376 0.8885 0.2935  3 Ac 3.58-3.91, 5 Pr 3.64-3.68, 1 Y 3.76
Pr 0.5750 0.5750 0.5750  4 Pr 3.33-3.64, 3 Ac 3.71
Pr 0.2935 0.2376 0.8885  3 Ac 3.58-3.91, 5 Pr 3.64-3.68, 1 Y 3.76
Pr 0.8885 0.2935 0.2376  3 Ac 3.58-3.91, 5 Pr 3.64-3.68, 1 Y 3.76
Pr 0.7065 0.7624 0.1115  3 Ac 3.58-3.91, 5 Pr 3.64-3.68, 1 Y 3.76
Pr 0.1115 0.7065 0.7624  3 Ac 3.58-3.91, 5 Pr 3.64-3.68, 1 Y 3.76
Pr 0.7624 0.1115 0.7065  3 Ac 3.58-3.91, 5 Pr 3.64-3.68, 1 Y 3.76
Ac 0.9099 0.4572 0.7594  4 Pr 3.58-3.91, 1 Y 3.66, 4 Ac 3.85-4.01
Ac 0.0901 0.5428 0.2406  4 Pr 3.58-3.91, 1 Y 3.66, 4 Ac 3.85-4.01
Ac 0.4572 0.7594 0.9099  4 Pr 3.58-3.91, 1 Y 3.66, 4 Ac 3.85-4.01
Ac 0.7594 0.9099 0.4572  4 Pr 3.58-3.91, 1 Y 3.66, 4 Ac 3.85-4.01
Ac 0.5428 0.2406 0.0901  4 Pr 3.58-3.91, 1 Y 3.66, 4 Ac 3.85-4.01
Ac 0.2406 0.0901 0.5428  4 Pr 3.58-3.91, 1 Y 3.66, 4 Ac 3.85-4.01
Y 0.0000 0.0000 0.0000  6 Ac 3.66, 6 Pr 3.76